(1)
Below is an optimized crystal structure of CsMnFe2Cl8, with properties calculated at the GGA-PBE level.

The structure belongs to space group R-3 (No. 148, hexagonal axes); the cell edges are 6.4537, 6.4537 and 29.2388 Å and the angles 90.00°, 90.00° and 120.00°. The asymmetric unit holds Cs at (0.0000, 0.0000, 0.0000), Mn at (0.0000, 0.0000, 0.5000), Fe at (0.0000, 0.0000, 0.2401), Cl at (0.0000, 0.0000, 0.3161) and Cl at (0.0023, 0.3232, 0.4485).

The total energy comes out at -4.53 eV/atom.

---

(2)
Below is an optimized crystal structure of Ba2FeMo, with properties calculated at the GGA-PBE level.

The structure belongs to space group Fm-3m (No. 225); the cell edges are 7.953, 7.953 and 7.953 Å and the angles 90.00°, 90.00° and 90.00°. The asymmetric unit holds Ba at (0.250, 0.250, 0.250), Fe at (0.000, 0.000, 0.000) and Mo at (0.000, 0.000, 0.500).

The calculated formation energy is 1.2513 eV/atom. Its polymorph energy (0 for the lowest one) is 54.9 kJ/mol of atoms.

---

(3)
Below is an optimized crystal structure of ZrAsRuRh2, with properties calculated at the GGA-PBE level.

The structure belongs to space group P4/mmm (No. 123); the cell edges are 4.658, 4.658 and 4.955 Å and the angles 90.00°, 90.00° and 90.00°. The asymmetric unit holds Zr at (0.000, 0.000, 0.000), As at (0.500, 0.500, 0.000), Ru at (0.000, 0.000, 0.500) and Rh at (0.000, 0.500, 0.500).

The calculated formation energy is 0.8408 eV/atom. Its polymorph energy (0 for the lowest one) is 15.9 kJ/mol of atoms.

---

(4)
Below is an optimized crystal structure of Mg2AsSe, with properties calculated at the GGA-PBE level.

The structure belongs to space group Cmmm (No. 65); the cell edges are 6.281, 7.259 and 3.533 Å and the angles 90.00°, 90.00° and 90.00°. The asymmetric unit holds Mg at (0.250, 0.250, 0.000), As at (0.000, 0.000, 0.500) and Se at (0.000, 0.500, 0.500).

The total energy comes out at -3.25 eV/atom.

---

(5)
Below is an optimized crystal structure of Rb2CuGeCl6, with properties calculated at the GGA-PBE level.

The structure belongs to space group I4/mmm (No. 139); the cell edges are 7.455, 7.455 and 9.094 Å and the angles 90.00°, 90.00° and 90.00°. The asymmetric unit holds Rb at (0.000, 0.500, 0.250), Cu at (0.000, 0.000, 0.000), Ge at (0.000, 0.000, 0.500), Cl at (0.000, 0.000, 0.238) and Cl at (0.243, 0.243, 0.500).

The total energy comes out at -3.34 eV/atom.

---

(6)
Below is an optimized crystal structure of Na2PPbF, with properties calculated at the GGA-PBE level.

The structure belongs to space group P4/mmm (No. 123); the cell edges are 5.954, 5.954 and 4.487 Å and the angles 90.00°, 90.00° and 90.00°. The asymmetric unit holds Na at (0.000, 0.500, 0.000), P at (0.000, 0.000, 0.500), Pb at (0.500, 0.500, 0.000) and F at (0.500, 0.500, 0.500).

The total energy comes out at -2.77 eV/atom.

---

(7)
Below is an optimized crystal structure of TiTcGe2, with properties calculated at the GGA-PBE level.

The structure belongs to space group P4/mmm (No. 123); the cell edges are 3.090, 3.090 and 6.427 Å and the angles 90.00°, 90.00° and 90.00°. The asymmetric unit holds Ti at (0.000, 0.000, 0.000), Tc at (0.000, 0.000, 0.500) and Ge at (0.500, 0.500, 0.274).

The calculated formation energy is -0.2441 eV/atom. Its polymorph energy (0 for the lowest one) is 0.0 kJ/mol of atoms.

---

(8)
Below is an optimized crystal structure of NaBi2Te3, with properties calculated at the GGA-PBE level.

The structure belongs to space group Immm (No. 71); the cell edges are 4.562, 6.543 and 13.696 Å and the angles 90.00°, 90.00° and 90.00°. The asymmetric unit holds Na at (0.000, 0.000, 0.000), Bi at (0.000, 0.000, 0.333), Te at (0.000, 0.500, 0.000) and Te at (0.000, 0.500, 0.322).

Its polymorph energy (0 for the lowest one) is 0.0 kJ/mol of atoms.

---

(9)
Below is an optimized crystal structure of Nb2CoPdC, with properties calculated at the GGA-PBE level.

The structure belongs to space group P4/mmm (No. 123); the cell edges are 4.324, 4.324 and 3.741 Å and the angles 90.00°, 90.00° and 90.00°. The asymmetric unit holds Nb at (0.000, 0.500, 0.000), Co at (0.000, 0.000, 0.500), Pd at (0.500, 0.500, 0.500) and C at (0.000, 0.000, 0.000).

The calculated formation energy is -0.1848 eV/atom.

---

(10)
Below is an optimized crystal structure of BaScInFe2, with properties calculated at the GGA-PBE level.

The structure belongs to space group P4/mmm (No. 123); the cell edges are 4.711, 4.711 and 5.848 Å and the angles 90.00°, 90.00° and 90.00°. The asymmetric unit holds Ba at (0.000, 0.000, 0.000), Sc at (0.000, 0.000, 0.500), In at (0.500, 0.500, 0.000) and Fe at (0.000, 0.500, 0.500).

The calculated formation energy is 1.3874 eV/atom.

---

(11)
Below is an optimized crystal structure of PmDyTlIr, with properties calculated at the GGA-PBE level.

The structure belongs to space group P4mm (No. 99); the cell edges are 3.506, 3.506 and 8.146 Å and the angles 90.00°, 90.00° and 90.00°. The asymmetric unit holds Pm at (0.000, 0.000, 0.000), Dy at (0.000, 0.000, 0.589), Tl at (0.500, 0.500, 0.302) and Ir at (0.500, 0.500, 0.783).

The calculated formation energy is -0.5639 eV/atom. Its polymorph energy (0 for the lowest one) is 0.0 kJ/mol of atoms.

---

(12)
Below is an optimized crystal structure of LiU3In4Te8, with properties calculated at the GGA-PBE level.

The structure belongs to space group R-3m (No. 166, hexagonal axes); the cell edges are 8.7094, 8.7094 and 24.5593 Å and the angles 90.00°, 90.00° and 120.00°. The asymmetric unit holds Li at (0.0000, 0.0000, 0.0000), U at (0.0000, 0.5000, 0.0000), In at (0.0000, 0.0000, 0.5000), In at (0.0000, 0.5000, 0.5000), Te at (0.0000, 0.0000, 0.2589) and Te at (0.0028, 0.5014, 0.2611).

The total energy comes out at -4.98 eV/atom.

---

(13)
Below is an optimized crystal structure of Sm8Dy6Cd, with properties calculated at the GGA-PBE level.

The structure belongs to space group P-3 (No. 147); the cell edges are 9.4318, 9.4318 and 6.3664 Å and the angles 90.00°, 90.00° and 120.00°. The asymmetric unit holds Sm at (0.0416, 0.7731, 0.1869), Sm at (0.3333, 0.6667, 0.1761), Dy at (0.0955, 0.6416, 0.6796) and Cd at (0.0000, 0.0000, 0.5000).

The calculated formation energy is 0.0983 eV/atom.

---

(14)
Below is an optimized crystal structure of Ce2AsBr, with properties calculated at the GGA-PBE level.

The structure belongs to space group C2/c (No. 15); the cell edges are 8.479, 16.890 and 7.339 Å and the angles 90.00°, 125.17° and 90.00°. The asymmetric unit holds Ce at (0.242, 0.187, 0.262), Ce at (0.244, 0.062, 0.737), As at (0.000, 0.060, 0.250), As at (0.000, 0.315, 0.250), Br at (0.000, 0.189, 0.750) and Br at (0.000, 0.436, 0.750).

The total energy comes out at -5.87 eV/atom.

---

(15)
Below is an optimized crystal structure of LaY2Tm12, with properties calculated at the GGA-PBE level.

The structure belongs to space group P2/m (No. 10); the cell edges are 3.544, 5.510 and 24.078 Å and the angles 90.00°, 94.15° and 90.00°. The asymmetric unit holds La at (0.000, 0.000, 0.000), Y at (0.362, 0.000, 0.727), Tm at (0.073, 0.000, 0.140), Tm at (0.103, 0.500, 0.203), Tm at (0.168, 0.500, 0.333), Tm at (0.215, 0.000, 0.427), Tm at (0.275, 0.500, 0.554) and Tm at (0.460, 0.500, 0.923).

The calculated formation energy is 0.1109 eV/atom.

---

(16)
Below is an optimized crystal structure of Cr4TcSe, with properties calculated at the GGA-PBE level.

The structure belongs to space group F-43m (No. 216); the cell edges are 6.795, 6.795 and 6.795 Å and the angles 90.00°, 90.00° and 90.00°. The asymmetric unit holds Cr at (0.124, 0.124, 0.124), Tc at (0.000, 0.000, 0.500) and Se at (0.250, 0.250, 0.750).

The total energy comes out at -8.28 eV/atom.

---

(17)
Below is an optimized crystal structure of BaNa2BiAu, with properties calculated at the GGA-PBE level.

The structure belongs to space group P4/mmm (No. 123); the cell edges are 5.453, 5.453 and 6.308 Å and the angles 90.00°, 90.00° and 90.00°. The asymmetric unit holds Ba at (0.000, 0.000, 0.000), Na at (0.000, 0.500, 0.500), Bi at (0.500, 0.500, 0.000) and Au at (0.000, 0.000, 0.500).

The calculated formation energy is -0.3484 eV/atom.

---

(18)
Below is an optimized crystal structure of BaNiAg2, with properties calculated at the GGA-PBE level.

The structure belongs to space group Cmmm (No. 65); the cell edges are 5.638, 8.086 and 4.463 Å and the angles 90.00°, 90.00° and 90.00°. The asymmetric unit holds Ba at (0.000, 0.000, 0.000), Ni at (0.000, 0.500, 0.000) and Ag at (0.000, 0.329, 0.500).

The calculated formation energy is 0.1085 eV/atom. Its polymorph energy (0 for the lowest one) is 10.2 kJ/mol of atoms.

---

(19)
Below is an optimized crystal structure of Er4Zn3Pd, with properties calculated at the GGA-PBE level.

The structure belongs to space group P4/mmm (No. 123); the cell edges are 3.537, 3.537 and 13.914 Å and the angles 90.00°, 90.00° and 90.00°. The asymmetric unit holds Er at (0.000, 0.000, 0.121), Er at (0.000, 0.000, 0.374), Zn at (0.500, 0.500, 0.249), Zn at (0.500, 0.500, 0.500) and Pd at (0.500, 0.500, 0.000).

The calculated formation energy is -0.5040 eV/atom. Its polymorph energy (0 for the lowest one) is 0.0 kJ/mol of atoms.

---

(20)
Below is an optimized crystal structure of LiLaRe2, with properties calculated at the GGA-PBE level.

The structure belongs to space group Pmmm (No. 47); the cell edges are 3.252, 4.383 and 5.078 Å and the angles 90.00°, 90.00° and 90.00°. The asymmetric unit holds Li at (0.000, 0.000, 0.000), La at (0.500, 0.500, 0.000), Re at (0.000, 0.500, 0.500) and Re at (0.500, 0.000, 0.500).

The calculated formation energy is 0.5413 eV/atom. Its polymorph energy (0 for the lowest one) is 29.4 kJ/mol of atoms.